A relaxed SrY2Hf crystal, computed with PBE.

Geometry as extended XYZ:
```
8
Lattice="4.820 0.000 0.000 0.000 4.820 0.000 2.410 2.410 11.555" Properties=species:S:1:pos:R:3 pbc="T T T"
Y 3.733 1.205 2.889
Y 1.088 3.615 2.889
Y 3.615 3.498 8.666
Y 6.025 6.143 8.666
Sr 2.410 2.410 0.000
Sr 2.410 4.820 5.777
Hf 0.000 0.000 0.000
Hf 4.820 2.410 5.777
```

Summary:
Energy above the lowest structure with this stoichiometry: 363 meV per atom
SG: I-42d, No. 122
V: 268.5 Å³ per cell
Calculated formation energy: 0.82 eV per atom
Crystal system: tetragonal

---

A relaxed TcRuSe2 crystal, computed with PBE.

Geometry as extended XYZ:
```
4
Lattice="-2.513 0.912 3.520 -3.765 -2.219 0.662 -0.298 -2.908 3.316" Properties=species:S:1:pos:R:3 pbc="T T T"
Ru -3.288 -2.108 3.749
Tc 0.000 0.000 0.000
Se -1.644 -1.054 1.875
Se -4.932 -3.161 5.624
```

Summary:
Energy above the lowest structure with this stoichiometry: 292 meV per atom
SG: Fm-3m, No. 225
Raw formation energy: 0.22 eV/atom
V: 61.1 Å³ per cell
Crystal system: cubic

---

A relaxed HfNb2Ga2 crystal, computed with PBE.

Geometry as extended XYZ:
```
10
Lattice="-5.239 -4.589 1.411 3.708 -2.540 5.504 -1.504 2.365 2.105" Properties=species:S:1:pos:R:3 pbc="T T T"
Nb 0.834 -1.332 5.012
Nb -1.226 -4.010 6.547
Nb -3.870 -3.432 4.008
Nb -1.810 -0.754 2.472
Hf 0.000 0.000 0.000
Hf -0.766 -3.564 3.458
Ga 1.279 -3.947 5.349
Ga -2.271 -5.604 4.673
Ga -2.810 -3.182 1.567
Ga 0.740 -1.525 2.243
```

Summary:
Energy above the lowest structure with this stoichiometry: 0 meV per atom
SG: P4/mbm, No. 127
V: 177.0 Å³ per cell
Calculated formation energy: -0.42 eV per atom
Crystal system: tetragonal

---

A relaxed RbOs2Pd crystal, computed with PBE.

Geometry as extended XYZ:
```
8
Lattice="-4.672 -0.325 -0.246 -0.183 -0.866 4.605 -3.158 8.623 3.884" Properties=species:S:1:pos:R:3 pbc="T T T"
Os -4.667 1.779 1.343
Os -5.225 1.314 3.622
Os -4.153 6.194 3.626
Os -6.470 6.118 3.043
Rb -2.427 -0.595 2.180
Rb -2.884 3.581 5.334
Pd 0.000 0.000 0.000
Pd -5.129 3.851 2.908
```

Summary:
Energy above the lowest structure with this stoichiometry: 0 meV per atom
SG: I-42d, No. 122
V: 206.8 Å³ per cell
Calculated formation energy: 1.47 eV per atom
Crystal system: tetragonal

---

A relaxed Hg4Se2SCl crystal, computed with PBE.

Geometry as extended XYZ:
```
8
Lattice="-3.998 1.873 -4.581 -3.928 -4.783 1.474 1.025 5.119 5.615" Properties=species:S:1:pos:R:3 pbc="T T T"
Hg -3.950 2.048 2.296
Hg -4.718 -1.995 0.877
Hg -4.749 1.007 -1.855
Hg -0.384 3.357 3.694
Se -3.468 2.769 -0.260
Se -3.433 -0.559 2.768
S -3.964 -1.454 -1.552
Cl -0.001 0.001 0.001
```

Summary:
SG: I-42m, No. 121
Raw formation energy: -0.19 eV/atom
V: 251.3 Å³ per cell
Crystal system: tetragonal

---

A relaxed LiZnRhW crystal, computed with PBE.

Geometry as extended XYZ:
```
4
Lattice="-0.769 4.141 0.723 -3.695 1.209 1.776 -0.059 1.495 4.003" Properties=species:S:1:pos:R:3 pbc="T T T"
Zn -3.392 5.133 4.877
Rh 0.000 0.000 0.000
W -1.131 1.711 1.626
Li -2.261 3.422 3.251
```

Summary:
SG: F-43m, No. 216
V: 55.2 Å³ per cell
Calculated formation energy: -0.05 eV per atom
Crystal system: cubic

---

A relaxed HoTmTa crystal, computed with PBE.

Geometry as extended XYZ:
```
6
Lattice="3.516 0.000 0.000 0.000 3.516 0.000 0.000 0.000 12.840" Properties=species:S:1:pos:R:3 pbc="T T T"
Ho 0.000 1.758 7.616
Ho 1.758 0.000 5.224
Tm 1.758 0.000 10.249
Tm 0.000 1.758 2.591
Ta 0.000 1.758 12.225
Ta 1.758 0.000 0.614
```

Summary:
SG: P4/nmm, No. 129
V: 158.7 Å³ per cell
Calculated formation energy: 0.12 eV per atom
Crystal system: tetragonal

---

A relaxed Li2MnRu crystal, computed with PBE.

Geometry as extended XYZ:
```
4
Lattice="-2.583 3.631 -1.210 0.009 -0.816 -2.466 -3.787 -2.545 0.447" Properties=species:S:1:pos:R:3 pbc="T T T"
Li -3.739 -2.522 0.416
Li -1.936 -1.704 -0.979
Mn -2.236 0.975 -1.110
Ru -4.125 -0.706 -2.120
```

Summary:
Energy above the lowest structure with this stoichiometry: 3 meV per atom
SG: P2/m, No. 10
V: 54.8 Å³ per cell
Calculated formation energy: 0.18 eV per atom
Crystal system: monoclinic

---

A relaxed NdTlSn crystal, computed with PBE.

Geometry as extended XYZ:
```
3
Lattice="4.516 0.000 0.000 0.000 4.783 0.000 0.000 -2.391 4.142" Properties=species:S:1:pos:R:3 pbc="T T T"
Tl 1.367 0.000 2.761
Nd 2.966 2.391 1.381
Sn 0.183 0.000 0.000
```

Summary:
Energy above the lowest structure with this stoichiometry: 57 meV per atom
SG: P3m1, No. 156
V: 89.4 Å³ per cell
Calculated formation energy: -0.42 eV per atom
Crystal system: trigonal

---

A relaxed Pu3Mg2Tl6 crystal, computed with PBE.

Geometry as extended XYZ:
```
11
Lattice="-4.102 1.686 -1.576 -2.272 -3.514 2.154 1.970 8.838 11.356" Properties=species:S:1:pos:R:3 pbc="T T T"
Pu 0.000 0.000 0.000
Pu -3.924 3.886 7.343
Pu -0.480 3.123 4.590
Mg -1.101 7.169 10.535
Mg -3.303 -0.159 1.398
Tl -1.400 -0.040 3.600
Tl -2.315 2.560 1.735
Tl -3.004 7.050 8.334
Tl -2.089 4.450 10.199
Tl -3.649 2.094 4.709
Tl -0.755 4.916 7.224
```

Summary:
SG: I4/mmm, No. 139
V: 313.2 Å³ per cell
Calculated formation energy: 0.14 eV per atom
Crystal system: tetragonal

---

A relaxed NdMgGaPb crystal, computed with PBE.

Geometry as extended XYZ:
```
4
Lattice="5.267 0.000 0.000 2.633 4.561 0.000 2.633 1.520 4.300" Properties=species:S:1:pos:R:3 pbc="T T T"
Pb 5.267 3.041 2.150
Mg 7.900 4.561 3.225
Nd 2.633 1.520 1.075
Ga 0.000 0.000 0.000
```

Summary:
Energy above the lowest structure with this stoichiometry: 144 meV per atom
SG: F-43m, No. 216
V: 103.3 Å³ per cell
Calculated formation energy: -0.26 eV per atom
Crystal system: cubic

---

A relaxed ThBe5Pt crystal, computed with PBE.

Geometry as extended XYZ:
```
28
Lattice="4.498 0.000 0.000 0.000 7.925 0.000 0.000 0.000 9.924" Properties=species:S:1:pos:R:3 pbc="T T T"
Th 1.124 1.806 9.345
Th 3.373 2.156 4.382
Th 1.124 5.769 5.542
Th 3.373 6.119 0.580
Be 1.124 4.497 0.146
Be 3.373 7.391 5.108
Be 1.124 0.534 4.816
Be 3.373 3.428 9.778
Be 3.373 2.327 7.474
Be 1.124 1.636 2.511
Be 3.373 6.289 7.413
Be 1.124 5.598 2.451
Be 1.124 7.698 1.297
Be 3.373 4.190 6.259
Be 1.124 3.735 3.665
Be 3.373 0.227 8.627
Be 4.478 3.503 1.812
Be 0.020 0.460 6.774
Be 2.269 7.465 3.151
Be 2.229 4.422 8.113
Be 0.020 4.422 8.113
Be 4.478 7.465 3.151
Be 2.229 0.460 6.774
Be 2.269 3.503 1.812
Pt 1.124 6.821 8.441
Pt 3.373 5.067 3.479
Pt 1.124 2.859 6.445
Pt 3.373 1.104 1.483
```

Summary:
SG: Pnma, No. 62
V: 353.8 Å³ per cell
Calculated formation energy: -0.35 eV per atom
Crystal system: orthorhombic

---

A relaxed ZrPd4Au crystal, computed with PBE.

Geometry as extended XYZ:
```
6
Lattice="-5.005 -0.793 1.356 -1.238 -0.986 5.001 -2.553 3.605 2.829" Properties=species:S:1:pos:R:3 pbc="T T T"
Au 0.000 0.000 0.000
Zr -2.199 0.457 2.297
Pd -4.221 -0.663 4.326
Pd -4.879 1.635 3.239
Pd -5.499 1.142 5.743
Pd -2.994 1.538 5.064
```

Summary:
Energy above the lowest structure with this stoichiometry: 0 meV per atom
SG: F-43m, No. 216
V: 102.1 Å³ per cell
Calculated formation energy: -0.44 eV per atom
Crystal system: cubic

---

A relaxed InPCl crystal, computed with PBE.

Geometry as extended XYZ:
```
3
Lattice="7.163 -0.002 0.000 5.638 4.418 0.000 -6.401 -2.208 2.337" Properties=species:S:1:pos:R:3 pbc="T T T"
Cl 12.291 4.240 0.000
In 4.202 1.449 0.000
P 9.110 3.142 0.000
```

Summary:
Energy above the lowest structure with this stoichiometry: 428 meV per atom
SG: I4mm, No. 107
Raw formation energy: 0.15 eV/atom
V: 74.0 Å³ per cell
Crystal system: tetragonal

---

A relaxed Ti2GaSb2 crystal, computed with PBE.

Geometry as extended XYZ:
```
10
Lattice="7.783 0.000 0.000 0.000 7.783 0.000 0.000 0.000 3.534" Properties=species:S:1:pos:R:3 pbc="T T T"
Sb 2.691 6.582 0.000
Sb 6.582 5.092 0.000
Sb 5.092 1.201 0.000
Sb 1.201 2.691 0.000
Ga 0.000 0.000 0.000
Ga 3.892 3.892 0.000
Ti 1.040 4.931 1.767
Ti 4.931 6.744 1.767
Ti 6.744 2.852 1.767
Ti 2.852 1.040 1.767
```

Summary:
Energy above the lowest structure with this stoichiometry: 210 meV per atom
SG: P4/mbm, No. 127
Raw formation energy: -0.12 eV/atom
V: 214.1 Å³ per cell
Crystal system: tetragonal

---

A relaxed Tb2Zn2Sn crystal, computed with PBE.

Geometry as extended XYZ:
```
5
Lattice="-2.935 -3.056 0.396 -0.935 -2.724 -5.089 2.316 -5.299 -0.866" Properties=species:S:1:pos:R:3 pbc="T T T"
Tb -1.318 -8.134 -3.945
Tb -0.236 -2.945 -1.614
Zn -0.104 -6.073 -1.905
Zn -1.450 -5.007 -3.654
Sn 0.000 0.000 0.000
```

Summary:
SG: Immm, No. 71
V: 115.2 Å³ per cell
Calculated formation energy: -0.44 eV per atom
Crystal system: orthorhombic

---

A relaxed NaTbZnGe crystal, computed with PBE.

Geometry as extended XYZ:
```
4
Lattice="-4.655 -1.027 1.452 -1.120 -4.526 1.758 -1.023 -0.611 4.839" Properties=species:S:1:pos:R:3 pbc="T T T"
Na 0.000 0.000 0.000
Ge -1.700 -1.541 2.012
Tb -3.399 -3.082 4.025
Zn -5.099 -4.623 6.037
```

Summary:
SG: F-43m, No. 216
V: 87.5 Å³ per cell
Calculated formation energy: -0.30 eV per atom
Crystal system: cubic

---

A relaxed RbSi2SnTe8 crystal, computed with PBE.

Geometry as extended XYZ:
```
12
Lattice="6.226 0.000 0.000 3.113 5.392 0.000 3.113 1.797 14.549" Properties=species:S:1:pos:R:3 pbc="T T T"
Rb 6.226 3.595 7.274
Si 3.113 1.797 3.559
Si 9.339 5.392 10.990
Sn 0.000 0.000 0.000
Te 3.113 1.797 5.978
Te 5.543 1.818 2.530
Te 9.339 5.392 8.571
Te 8.106 3.891 2.530
Te 4.346 3.298 12.019
Te 5.029 5.074 2.530
Te 7.423 2.115 12.019
Te 6.909 5.371 12.019
```

Summary:
SG: R-3, No. 148
Raw formation energy: -0.06 eV/atom
V: 488.4 Å³ per cell
Crystal system: trigonal

---

A relaxed Na3ErRh3O8 crystal, computed with PBE.

Geometry as extended XYZ:
```
15
Lattice="-5.964 1.956 0.131 1.771 -4.908 3.491 2.008 6.007 1.782" Properties=species:S:1:pos:R:3 pbc="T T T"
Na 0.000 0.000 0.000
Na 0.886 -2.454 1.745
Na -2.096 -1.476 1.811
Er 1.004 3.004 0.891
Rh -1.978 3.981 0.956
Rh -1.092 1.528 2.702
Rh 1.890 0.550 2.636
O -0.035 -0.272 2.459
O -2.149 3.327 2.945
O -3.005 0.749 2.420
O 0.821 2.306 2.983
O -3.841 3.065 0.773
O 1.657 -0.010 4.631
O -1.027 2.142 0.711
O -1.157 0.913 4.692
```

Summary:
SG: R-3m, No. 166
Raw formation energy: -1.44 eV/atom
V: 187.4 Å³ per cell
Crystal system: trigonal

---

A relaxed Hg3Pt2 crystal, computed with PBE.

Geometry as extended XYZ:
```
5
Lattice="11.447 -1.574 0.543 11.447 1.574 0.543 11.102 0.000 3.248" Properties=species:S:1:pos:R:3 pbc="T T T"
Hg 0.000 0.000 0.000
Hg 27.040 0.000 3.448
Hg 6.956 0.000 0.887
Pt 20.489 0.000 2.613
Pt 13.507 0.000 1.722
```

Summary:
Energy above the lowest structure with this stoichiometry: 126 meV per atom
SG: R-3m, No. 166
V: 98.1 Å³ per cell
Calculated formation energy: 0.16 eV per atom
Crystal system: trigonal

---

A relaxed Ti3MnNb crystal, computed with PBE.

Geometry as extended XYZ:
```
10
Lattice="-0.216 -3.870 3.361 3.983 -4.765 -2.428 2.348 3.126 3.750" Properties=species:S:1:pos:R:3 pbc="T T T"
Ti 4.146 -3.902 4.574
Ti 4.256 -2.909 1.705
Ti 1.969 -1.608 0.109
Ti 1.859 -2.601 2.978
Ti 3.093 -4.456 -0.153
Ti 3.023 -1.053 4.836
Mn 6.331 -1.639 1.322
Mn 6.223 -3.574 3.002
Nb 4.226 -5.856 2.241
Nb 1.890 0.347 2.442
```

Summary:
Energy above the lowest structure with this stoichiometry: 41 meV per atom
SG: C2/m, No. 12
V: 161.5 Å³ per cell
Calculated formation energy: -0.05 eV per atom
Crystal system: monoclinic

---

A relaxed Pm3Nd6Er2Mg crystal, computed with PBE.

Geometry as extended XYZ:
```
12
Lattice="6.290 -0.005 0.017 -3.148 5.446 0.017 -1.089 -1.886 11.667" Properties=species:S:1:pos:R:3 pbc="T T T"
Pm -2.117 3.593 5.851
Pm 4.171 -0.038 5.851
Pm 1.027 1.778 5.851
Nd 3.113 1.771 8.846
Nd 2.084 3.608 2.893
Nd -1.060 1.785 2.856
Nd -0.022 3.582 8.846
Nd -0.030 -0.052 8.809
Nd 2.076 -0.026 2.856
Er 0.001 3.627 0.017
Er 3.141 1.814 0.017
Mg 0.000 0.000 0.000
```

Summary:
SG: C2/m, No. 12
V: 399.9 Å³ per cell
Calculated formation energy: 0.03 eV per atom
Crystal system: monoclinic

---

A relaxed Sr5Ge2As6 crystal, computed with PBE.

Geometry as extended XYZ:
```
26
Lattice="4.233 0.000 0.000 0.000 11.953 0.000 0.000 0.000 14.564" Properties=species:S:1:pos:R:3 pbc="T T T"
Sr 2.116 3.958 7.171
Sr 2.116 7.995 7.393
Sr 2.116 9.935 0.111
Sr 2.116 2.018 14.453
Sr 2.116 6.848 3.668
Sr 2.116 5.105 10.896
Sr 2.116 0.871 3.614
Sr 2.116 11.082 10.950
Sr 2.116 5.977 0.000
Sr 2.116 0.000 7.282
Ge 0.000 3.886 4.158
Ge 0.000 8.067 10.407
Ge 0.000 9.862 3.125
Ge 0.000 2.091 11.440
As 0.000 1.901 5.774
As 0.000 10.052 8.790
As 0.000 7.877 1.508
As 0.000 4.076 13.056
As 2.116 3.845 2.588
As 2.116 8.108 11.976
As 2.116 9.822 4.694
As 2.116 2.131 9.871
As 0.000 5.819 5.788
As 0.000 6.134 8.776
As 0.000 11.796 1.494
As 0.000 0.157 13.070
```

Summary:
SG: Pbam, No. 55
V: 736.9 Å³ per cell
Calculated formation energy: -0.85 eV per atom
Crystal system: orthorhombic

---

| no. | magnetic moment (μB per formula unit) |
| --- | --- |
| 1 | 1.22 |
| 2 | 0.00 |
| 3 | 0.00 |
| 4 | 0.28 |
| 5 | 0.00 |
| 6 | 0.00 |
| 7 | 0.00 |
| 8 | 3.32 |
| 9 | 0.00 |
| 10 | 18.27 |
| 11 | 0.00 |
| 12 | 0.00 |
| 13 | 0.00 |
| 14 | 0.00 |
| 15 | 0.00 |
| 16 | 0.00 |
| 17 | 0.00 |
| 18 | 0.00 |
| 19 | 0.66 |
| 20 | 0.00 |
| 21 | 0.00 |
| 22 | 0.00 |
| 23 | 0.00 |